1.
{"formula": "ReAu", "functional": "PBE-GGA", "state": "optimized geometry", "cell": [[4.536, 0.000, 0.000], [2.268, 3.928, 0.000], [2.268, 1.309, 3.703]], "species": ["Au", "Au", "Re", "Re"], "fractional_positions": [[0.750, 0.750, 0.750], [0.000, 0.000, 0.000], [0.250, 0.250, 0.250], [0.500, 0.500, 0.500]], "dft_energy_ev_per_cell": -28.4, "delta_e_f_ev_per_atom": 0.76, "total_magnetization_mub_per_fu": 0.00, "mass_density_g_cm3": 19.3, "spacegroup": "Fd-3m, No. 227", "e_above_lowest_polymorph_ev_per_fu": 1.24}



2.
{"formula": "NdMgNi2", "functional": "PBE-GGA", "state": "optimized geometry", "cell": [[3.279, 0.000, 0.000], [0.000, 4.676, 0.000], [0.000, 0.000, 4.676]], "species": ["Mg", "Nd", "Ni", "Ni"], "fractional_positions": [[0.500, 0.000, 0.000], [0.500, 0.500, 0.500], [0.000, 0.500, 0.000], [0.000, 0.000, 0.500]], "dft_energy_ev_per_cell": -18.4, "delta_e_f_ev_per_atom": -0.13, "total_magnetization_mub_per_fu": 0.00, "mass_density_g_cm3": 6.6, "spacegroup": "P4/mmm, No. 123"}



3.
{"formula": "TiTlAg2I", "functional": "PBE-GGA", "state": "optimized geometry", "cell": [[-0.950, -0.040, -5.203], [4.145, -3.356, -0.730], [-3.238, -4.135, 0.623]], "species": ["Ag", "Ag", "I", "Tl", "Ti"], "fractional_positions": [[0.000, 0.000, 0.500], [0.500, 0.000, 0.000], [0.500, 0.500, 0.500], [0.000, 0.000, 0.000], [0.000, 0.500, 0.000]], "dft_energy_ev_per_cell": -13.6, "total_magnetization_mub_per_fu": 0.00, "formation_energy_uncorrected_ev_per_atom": 0.78, "mass_density_g_cm3": 6.6, "spacegroup": "P4/mmm, No. 123"}



4.
{"formula": "GdMgZrIn", "functional": "PBE-GGA", "state": "optimized geometry", "cell": [[5.165, 0.000, 0.000], [2.583, 4.473, 0.000], [2.583, 1.491, 4.217]], "species": ["Gd", "Mg", "In", "Zr"], "fractional_positions": [[0.750, 0.750, 0.750], [0.500, 0.500, 0.500], [0.000, 0.000, 0.000], [0.250, 0.250, 0.250]], "dft_energy_ev_per_cell": -27.6, "delta_e_f_ev_per_atom": -0.17, "total_magnetization_mub_per_fu": 7.23, "mass_density_g_cm3": 6.6, "spacegroup": "F-43m, No. 216"}



5.
{"formula": "Bi6Pd12Pt", "functional": "PBE-GGA", "state": "optimized geometry", "cell": [[-1.151, -0.692, 7.489], [3.192, -6.512, -2.301], [5.274, 5.414, -0.879]], "species": ["Pd", "Pd", "Pd", "Pd", "Pd", "Pd", "Pd", "Pd", "Pd", "Pd", "Pd", "Pd", "Bi", "Bi", "Bi", "Bi", "Bi", "Bi", "Pt"], "fractional_positions": [[0.156, 0.875, 0.727], [0.477, 0.597, 0.186], [0.186, 0.477, 0.597], [0.814, 0.523, 0.403], [0.523, 0.403, 0.814], [0.403, 0.814, 0.523], [0.727, 0.156, 0.875], [0.125, 0.273, 0.844], [0.273, 0.844, 0.125], [0.844, 0.125, 0.273], [0.597, 0.186, 0.477], [0.875, 0.727, 0.156], [0.533, 0.786, 0.911], [0.089, 0.467, 0.214], [0.214, 0.089, 0.467], [0.911, 0.533, 0.786], [0.786, 0.911, 0.533], [0.467, 0.214, 0.089], [0.000, 0.000, 0.000]], "dft_energy_ev_per_cell": -95.6, "delta_e_f_ev_per_atom": -0.21, "total_magnetization_mub_per_fu": 0.00, "mass_density_g_cm3": 12.2, "spacegroup": "R-3, No. 148"}



6.
{"formula": "Li3YTl", "functional": "PBE-GGA", "state": "optimized geometry", "cell": [[-3.341, 0.236, -4.598], [-4.221, -2.427, 2.942], [-1.840, 5.139, 1.600]], "species": ["Li", "Li", "Li", "Tl", "Y"], "fractional_positions": [[0.500, 0.000, 0.000], [0.000, 0.500, 0.000], [0.000, 0.000, 0.500], [0.500, 0.500, 0.500], [0.000, 0.000, 0.000]], "dft_energy_ev_per_cell": -9.9, "delta_e_f_ev_per_atom": 0.93, "total_magnetization_mub_per_fu": 1.39, "mass_density_g_cm3": 2.8, "spacegroup": "Pm-3m, No. 221", "e_above_lowest_polymorph_ev_per_fu": 3.90}